A plane-wave DFT calculation with PBE was carried out for a relaxed structure of PuRu.

Unit cell a=3.3805 b=3.3805 c=3.3805 alpha=90.00 beta=90.00 gamma=90.00
Closest atoms and distances in Å follow each position.
Space group Pm-3m (No. 221)
Asymmetric unit:
Pu (0.0000, 0.0000, 0.0000) [1 per cell]  8 Ru 2.93
Ru (0.5000, 0.5000, 0.5000) [1 per cell]  8 Pu 2.93


A plane-wave DFT calculation with PBE was carried out for a relaxed structure of Pu5Ru3.

Values from the calculation:
energy above the lowest structure with this stoichiometry	40.3	meV per atom

Unit cell a=4.7959 b=4.7959 c=13.3983 alpha=90.00 beta=90.00 gamma=90.00
Closest atoms and distances in Å follow each position.
Space group I4/mmm (No. 139)
Asymmetric unit:
Pu (0.0000, 0.0000, 0.0000) [2 per cell]  8 Pu 2.94
Pu (0.0000, 0.5000, 0.1274) [8 per cell]  6 Ru 2.90-2.94, 2 Pu 2.94
Ru (0.0000, 0.0000, 0.2509) [4 per cell]  8 Pu 2.90-2.91
Ru (0.0000, 0.0000, 0.5000) [2 per cell]  8 Pu 2.94


Energy of formation from the pure elements, record by record: -29 -47 kJ/mol of formula units
Theoretical density, record by record: 14832 16415 kg/m3
E, record by record: -23.903 -199.951 eV/cell